VASP calculation (PBE-GGA) on a relaxed structure of RbHSO2.

The structure in extended XYZ format:
```
20
Lattice="2.982 5.332 0.321 -2.982 5.332 0.321 0.000 3.420 11.498" Properties=species:S:1:pos:R:3 pbc="T T T"
O 1.756 9.634 10.255
O 1.756 4.450 1.886
O 0.000 6.836 7.974
O 0.000 7.248 4.167
O 0.000 12.849 10.422
O -1.756 4.450 1.886
O 0.000 1.235 1.719
O -1.756 9.634 10.255
H 0.000 7.486 7.250
H 0.000 5.918 7.572
H 0.000 8.166 4.568
H 0.000 6.599 4.891
S 0.000 10.299 4.773
S 0.000 10.457 2.711
S 0.000 3.627 9.430
S 0.000 3.786 7.368
Rb 0.000 3.151 3.850
Rb 0.000 10.933 8.291
Rb 0.000 6.999 1.278
Rb 0.000 7.086 10.862
```

size of the total moment = 0.0 μB/f.u.
crystal system = monoclinic
SG = C2/m, No. 12
total energy = -25.1 eV/f.u.